No. 1
Here is a geometry-optimized HoLuZnIr structure from Alexandria. Energies are from PBE.

Values from the calculation:
DOS(E_F), states/eV per atom: 0.6510
DFT formation energy, meV/atom: -678
DFT total energy, eV per atom: -5.4861
Total magnetization, μB per cell: 0.0

abc: 6.8758 6.8758 6.8758
angles: 90.00 90.00 90.00
Closest atoms and distances in Å follow each position.
Positions (direct):
Ho  0.0000  0.0000  0.0000  4 Ir 2.98, 4 Zn 2.98
Ho  0.0000  0.5000  0.5000  4 Ir 2.98, 4 Zn 2.98
Ho  0.5000  0.0000  0.5000  4 Ir 2.98, 4 Zn 2.98
Ho  0.5000  0.5000  0.0000  4 Ir 2.98, 4 Zn 2.98
Lu  0.0000  0.0000  0.5000  4 Ir 2.98, 4 Zn 2.98
Lu  0.0000  0.5000  0.0000  4 Ir 2.98, 4 Zn 2.98
Lu  0.5000  0.0000  0.0000  4 Ir 2.98, 4 Zn 2.98
Lu  0.5000  0.5000  0.5000  4 Ir 2.98, 4 Zn 2.98
Zn  0.2500  0.2500  0.2500  4 Ho 2.98, 4 Lu 2.98
Zn  0.2500  0.7500  0.7500  4 Ho 2.98, 4 Lu 2.98
Zn  0.7500  0.2500  0.7500  4 Ho 2.98, 4 Lu 2.98
Zn  0.7500  0.7500  0.2500  4 Ho 2.98, 4 Lu 2.98
Ir  0.2500  0.2500  0.7500  4 Ho 2.98, 4 Lu 2.98
Ir  0.2500  0.7500  0.2500  4 Ho 2.98, 4 Lu 2.98
Ir  0.7500  0.2500  0.2500  4 Ho 2.98, 4 Lu 2.98
Ir  0.7500  0.7500  0.7500  4 Ho 2.98, 4 Lu 2.98


No. 2
Here is a geometry-optimized Nd2PaTc2 structure from Alexandria. Energies are from PBE.

Values from the calculation:
DOS(E_F), states/eV per atom: 0.8181
DFT formation energy, meV/atom: -204
DFT total energy, eV per atom: -8.1569
Total magnetization, μB per cell: 0.0

abc: 4.3097 5.7347 9.9265
angles: 90.00 90.00 90.00
Closest atoms and distances in Å follow each position.
Positions (direct):
Nd  0.0000  0.0000  0.1968  6 Tc 3.25-3.33, 2 Pa 3.47
Nd  0.0000  0.0000  0.8032  6 Tc 3.25-3.33, 2 Pa 3.47
Nd  0.5000  0.5000  0.3032  6 Tc 3.25-3.33, 2 Pa 3.47
Nd  0.5000  0.5000  0.6968  6 Tc 3.25-3.33, 2 Pa 3.47
Pa  0.0000  0.5000  0.0000  4 Tc 2.59
Pa  0.5000  0.0000  0.5000  4 Tc 2.59
Tc  0.0000  0.2490  0.5000  2 Pa 2.59, 2 Tc 2.86-2.88
Tc  0.0000  0.7510  0.5000  2 Pa 2.59, 2 Tc 2.86-2.88
Tc  0.5000  0.2510  0.0000  2 Pa 2.59, 2 Tc 2.86-2.88
Tc  0.5000  0.7490  0.0000  2 Pa 2.59, 2 Tc 2.86-2.88


No. 3
Here is a geometry-optimized Ta2GaRu3 structure from Alexandria. Energies are from PBE.

Values from the calculation:
DOS(E_F), states/eV per atom: 0.5074
DFT formation energy, meV/atom: -435
DFT total energy, eV per atom: -9.5287
Total magnetization, μB per cell: 0.0

abc: 4.3568 13.1062 3.2222
angles: 90.00 90.00 90.00
Closest atoms and distances in Å follow each position.
Positions (direct):
Ta  0.0000  0.1636  0.0000  8 Ru 2.68-2.75
Ta  0.0000  0.8364  0.0000  8 Ru 2.68-2.75
Ta  0.5000  0.3364  0.0000  8 Ru 2.68-2.75
Ta  0.5000  0.6636  0.0000  8 Ru 2.68-2.75
Ga  0.0000  0.5000  0.0000  8 Ru 2.71
Ga  0.5000  0.0000  0.0000  8 Ru 2.71
Ru  0.0000  0.0000  0.5000  4 Ta 2.68, 4 Ga 2.71
Ru  0.0000  0.3334  0.5000  6 Ta 2.71-2.75, 2 Ga 2.71
Ru  0.0000  0.6666  0.5000  6 Ta 2.71-2.75, 2 Ga 2.71
Ru  0.5000  0.1666  0.5000  6 Ta 2.71-2.75, 2 Ga 2.71
Ru  0.5000  0.5000  0.5000  4 Ta 2.68, 4 Ga 2.71
Ru  0.5000  0.8334  0.5000  6 Ta 2.71-2.75, 2 Ga 2.71


No. 4
Here is a geometry-optimized Ca2SbIF structure from Alexandria. Energies are from PBE.

Values from the calculation:
DOS(E_F), states/eV per atom: 0.3947
E_form (uncorrected), eV/atom: -1.148
DFT total energy, eV per atom: -3.4578
Total magnetization, μB per cell: 0.0

abc: 6.0018 6.0018 4.7170
angles: 90.00 90.00 90.00
Closest atoms and distances in Å follow each position.
Positions (direct):
Ca  0.0000  0.5000  0.0000  2 Sb 3.00
Ca  0.5000  0.0000  0.0000  2 Sb 3.00
Sb  0.0000  0.0000  0.0000  2 F 2.36
I  0.5000  0.5000  0.5000  8 Ca 3.82, 4 F 4.24
F  0.0000  0.0000  0.5000  2 Sb 2.36


No. 5
Here is a geometry-optimized NiIr2Se structure from Alexandria. Energies are from PBE.

Values from the calculation:
DOS(E_F), states/eV per atom: 1.2908
E_form (uncorrected), eV/atom: 0.393
DFT total energy, eV per atom: -6.3538
Total magnetization, μB per cell: 0.0

abc: 2.8668 4.4510 8.9851
angles: 90.00 90.00 90.00
Closest atoms and distances in Å follow each position.
Positions (direct):
Ni  0.0000  0.0000  0.0000  2 Se 2.55, 6 Ir 2.66-2.70
Ni  0.5000  0.5000  0.5000  2 Se 2.55, 6 Ir 2.66-2.70
Ir  0.0000  0.0000  0.4698  2 Se 2.55, 4 Ni 2.66
Ir  0.0000  0.5000  0.2450  4 Se 2.65, 2 Ni 2.70, 4 Ir 2.86-2.87
Ir  0.5000  0.0000  0.7450  4 Se 2.65, 2 Ni 2.70, 4 Ir 2.86-2.87
Ir  0.5000  0.5000  0.9698  2 Se 2.55, 4 Ni 2.66
Se  0.0000  0.5000  0.7349  2 Ni 2.55, 6 Ir 2.55-2.65
Se  0.5000  0.0000  0.2349  2 Ni 2.55, 6 Ir 2.55-2.65


No. 6
Here is a geometry-optimized MnTlRu structure from Alexandria. Energies are from PBE.

Values from the calculation:
DOS(E_F), states/eV per atom: 0.9280
DFT formation energy, meV/atom: 527
DFT total energy, eV per atom: -6.4097
Total magnetization, μB per cell: 3.1

abc: 3.0291 3.0291 6.5800
angles: 90.00 90.00 120.00
Closest atoms and distances in Å follow each position.
Positions (direct):
Mn  0.0000  0.0000  0.0000  3 Ru 2.50
Tl  0.3333  0.6667  0.6349  3 Ru 2.96, 3 Mn 2.97, 6 Tl 3.03
Ru  0.6667  0.3333  0.2724  3 Mn 2.50


No. 7
Here is a geometry-optimized K2HoHfS4 structure from Alexandria. Energies are from PBE.

Values from the calculation:
DOS(E_F), states/eV per atom: 0.3456
E_form (uncorrected), eV/atom: -1.653
DFT total energy, eV per atom: -5.8073
Total magnetization, μB per cell: 0.0

abc: 6.7352 3.8585 7.7106
angles: 90.00 106.67 90.00
Closest atoms and distances in Å follow each position.
Positions (direct):
K  0.0000  0.0000  0.0000  6 S 3.20-3.21
K  0.5000  0.5000  0.0000  6 S 3.10-3.11
Ho  0.0000  0.5000  0.5000  6 S 2.73-2.74
Hf  0.5000  0.0000  0.5000  6 S 2.61-2.63
S  0.2480  0.0000  0.7019  1 Hf 2.61, 2 Ho 2.73
S  0.2807  0.5000  0.3030  2 Hf 2.63, 1 Ho 2.74
S  0.7193  0.5000  0.6970  2 Hf 2.63, 1 Ho 2.74
S  0.7520  0.0000  0.2981  1 Hf 2.61, 2 Ho 2.73


No. 8
Here is a geometry-optimized Ac8P3PdSe4 structure from Alexandria. Energies are from PBE.

Values from the calculation:
DOS(E_F), states/eV per atom: 0.5691
E_form (uncorrected), eV/atom: -1.612
DFT total energy, eV per atom: -5.8764
Total magnetization, μB per cell: 0.0

abc: 8.9535 8.9535 8.9535
angles: 59.65 59.65 59.65
Closest atoms and distances in Å follow each position.
Positions (direct):
Ac  0.2418  0.7475  0.7475  2 P 3.09, 1 Pd 3.13, 3 Se 3.19-3.23
Ac  0.2444  0.2444  0.2444  3 P 3.09, 3 Se 3.23
Ac  0.2525  0.2525  0.7582  2 P 3.09, 1 Pd 3.13, 3 Se 3.19-3.23
Ac  0.2525  0.7582  0.2525  2 P 3.09, 1 Pd 3.13, 3 Se 3.19-3.23
Ac  0.7475  0.2418  0.7475  2 P 3.09, 1 Pd 3.13, 3 Se 3.19-3.23
Ac  0.7475  0.7475  0.2418  2 P 3.09, 1 Pd 3.13, 3 Se 3.19-3.23
Ac  0.7556  0.7556  0.7556  3 P 3.09, 3 Se 3.23
Ac  0.7582  0.2525  0.2525  2 P 3.09, 1 Pd 3.13, 3 Se 3.19-3.23
P  0.0000  0.0000  0.5000  6 Ac 3.09
P  0.0000  0.5000  0.0000  6 Ac 3.09
P  0.5000  0.0000  0.0000  6 Ac 3.09
Pd  0.5000  0.5000  0.5000  6 Ac 3.13
Se  0.0000  0.0000  0.0000  6 Ac 3.19
Se  0.0000  0.5000  0.5000  6 Ac 3.23
Se  0.5000  0.0000  0.5000  6 Ac 3.23
Se  0.5000  0.5000  0.0000  6 Ac 3.23


No. 9
Here is a geometry-optimized SmPS4 structure from Alexandria. Energies are from PBE.

Values from the calculation:
E_form (uncorrected), eV/atom: -0.985
DFT total energy, eV per atom: -5.4251
Total magnetization, μB per cell: 0.0

abc: 5.7289 8.8841 5.8123
angles: 90.00 100.97 90.00
Closest atoms and distances in Å follow each position.
Positions (direct):
Sm  0.1373  0.2500  0.1719  8 S 2.85-3.13
Sm  0.8627  0.7500  0.8281  8 S 2.85-3.13
P  0.3757  0.7500  0.3321  4 S 2.03-2.07
P  0.6243  0.2500  0.6679  4 S 2.03-2.07
S  0.2009  0.5739  0.1386  1 P 2.07
S  0.2009  0.9261  0.1386  1 P 2.07
S  0.2696  0.2500  0.6745  1 P 2.04
S  0.3460  0.7500  0.6749  1 P 2.03
S  0.6540  0.2500  0.3251  1 P 2.03
S  0.7304  0.7500  0.3255  1 P 2.04
S  0.7991  0.0739  0.8614  1 P 2.07
S  0.7991  0.4261  0.8614  1 P 2.07


No. 10
Here is a geometry-optimized SrMg9Ni2 structure from Alexandria. Energies are from PBE.

Values from the calculation:
DOS(E_F), states/eV per atom: 0.6316
DFT formation energy, meV/atom: -70
DFT total energy, eV per atom: -2.3698
Total magnetization, μB per cell: 0.0

abc: 9.1039 9.1039 9.1039
angles: 100.26 100.26 130.08
Closest atoms and distances in Å follow each position.
Positions (direct):
Sr  0.3750  0.6250  0.7500  18 Mg 3.67-3.85, 4 Ni 4.10
Sr  0.6250  0.3750  0.2500  18 Mg 3.67-3.85, 4 Ni 4.10
Mg  0.1250  0.8750  0.2500  8 Mg 3.04, 4 Ni 3.07
Mg  0.1440  0.5735  0.3243  2 Ni 2.77-2.81, 6 Mg 2.87-3.07
Mg  0.1440  0.8197  0.5704  2 Ni 2.77-2.81, 6 Mg 2.87-3.07
Mg  0.1803  0.2508  0.3243  2 Ni 2.77-2.81, 6 Mg 2.87-3.07
Mg  0.1803  0.8560  0.9296  2 Ni 2.77-2.81, 6 Mg 2.87-3.07
Mg  0.2508  0.1803  0.8243  2 Ni 2.77-2.81, 6 Mg 2.87-3.07
Mg  0.2508  0.4265  0.0704  2 Ni 2.77-2.81, 6 Mg 2.87-3.07
Mg  0.4265  0.2508  0.5704  2 Ni 2.77-2.81, 6 Mg 2.87-3.07
Mg  0.4265  0.8560  0.1757  2 Ni 2.77-2.81, 6 Mg 2.87-3.07
Mg  0.5735  0.1440  0.8243  2 Ni 2.77-2.81, 6 Mg 2.87-3.07
Mg  0.5735  0.7492  0.4296  2 Ni 2.77-2.81, 6 Mg 2.87-3.07
Mg  0.7492  0.5735  0.9296  2 Ni 2.77-2.81, 6 Mg 2.87-3.07
Mg  0.7492  0.8197  0.1757  2 Ni 2.77-2.81, 6 Mg 2.87-3.07
Mg  0.8197  0.1440  0.0704  2 Ni 2.77-2.81, 6 Mg 2.87-3.07
Mg  0.8197  0.7492  0.6757  2 Ni 2.77-2.81, 6 Mg 2.87-3.07
Mg  0.8560  0.1803  0.4296  2 Ni 2.77-2.81, 6 Mg 2.87-3.07
Mg  0.8560  0.4265  0.6757  2 Ni 2.77-2.81, 6 Mg 2.87-3.07
Mg  0.8750  0.1250  0.7500  8 Mg 3.04, 4 Ni 3.07
Ni  0.0000  0.0000  0.0000  10 Mg 2.77-3.07
Ni  0.0000  0.0000  0.5000  10 Mg 2.77-3.07
Ni  0.0000  0.5000  0.0000  10 Mg 2.77-3.07
Ni  0.5000  0.0000  0.5000  10 Mg 2.77-3.07


No. 11
Here is a geometry-optimized La2BeNi structure from Alexandria. Energies are from PBE.

Values from the calculation:
DOS(E_F), states/eV per atom: 0.9234
DFT formation energy, meV/atom: -56
DFT total energy, eV per atom: -4.8963
Total magnetization, μB per cell: 0.0

abc: 3.5769 4.5250 10.8316
angles: 90.00 90.00 90.00
Closest atoms and distances in Å follow each position.
Positions (direct):
La  0.0000  0.0000  0.0000  4 Be 3.07, 2 La 3.17, 2 Ni 3.24
La  0.0000  0.5000  0.2044  4 Ni 3.01, 2 Be 3.13, 2 La 3.17
La  0.5000  0.0000  0.7044  4 Ni 3.01, 2 Be 3.13, 2 La 3.17
La  0.5000  0.5000  0.5000  4 Be 3.07, 2 La 3.17, 2 Ni 3.24
Be  0.0000  0.0000  0.4037  2 Ni 2.20
Be  0.5000  0.5000  0.9037  2 Ni 2.20
Ni  0.0000  0.5000  0.7854  2 Be 2.20
Ni  0.5000  0.0000  0.2854  2 Be 2.20


No. 12
Here is a geometry-optimized RbTe2Br4 structure from Alexandria. Energies are from PBE.

Values from the calculation:
DOS(E_F), states/eV per atom: 0.3275
E_form (uncorrected), eV/atom: -0.635
DFT total energy, eV per atom: -2.6272
Total magnetization, μB per cell: 1.6

abc: 11.0966 9.4267 9.4168
angles: 72.16 53.96 53.88
Closest atoms and distances in Å follow each position.
Positions (direct):
Rb  0.0000  0.0000  0.0000  8 Br 3.60-3.77
Rb  0.2500  0.2500  0.2500  8 Br 3.59-3.78
Te  0.1264  0.4670  0.7825  2 Br 2.72, 2 Te 2.97-3.00
Te  0.4670  0.1264  0.6241  2 Br 2.72, 2 Te 2.97-3.00
Te  0.6241  0.7825  0.4670  2 Br 2.72, 2 Te 2.97-3.00
Te  0.7825  0.6241  0.1264  2 Br 2.72, 2 Te 2.97-3.00
Br  0.2921  0.5135  0.8749  1 Te 2.72
Br  0.3194  0.8749  0.5135  1 Te 2.72
Br  0.3758  0.9589  0.9279  1 Te 2.72
Br  0.5135  0.2921  0.3194  1 Te 2.72
Br  0.7373  0.9279  0.9589  1 Te 2.72
Br  0.8749  0.3194  0.2921  1 Te 2.72
Br  0.9279  0.7373  0.3758  1 Te 2.72
Br  0.9589  0.3758  0.7373  1 Te 2.72